1.
PBE HfSbRu3, optimized geometry; excess energy over the best structure of this formula in the dataset = 0.280 eV per atom; SG = Pm-3m
1.0
4.7606 0.0000 0.0000
0.0000 4.7606 0.0000
0.0000 0.0000 4.7606
Hf Sb Ru
1 1 3
direct
0.0000 0.0000 0.0000
0.5000 0.5000 0.5000
0.0000 0.0000 0.5000
0.0000 0.5000 0.0000
0.5000 0.0000 0.0000



2.
PBE HfSbRu, optimized geometry; SG = F-43m; total energy = -8.324 eV/atom
1.0
0.0000 3.1564 3.1564
3.1564 0.0000 3.1564
3.1564 3.1564 0.0000
Hf Sb Ru
1 1 1
direct
0.0000 0.0000 0.0000
0.5000 0.5000 0.5000
0.2500 0.2500 0.2500



3.
PBE HfSbRu3, optimized geometry; excess energy over the best structure of this formula in the dataset = 0.000 eV per atom; SG = Pm-3m
1.0
4.7106 0.0000 0.0000
0.0000 4.7106 0.0000
0.0000 0.0000 4.7106
Hf Sb Ru
1 1 3
direct
0.0000 0.0000 0.0000
0.5000 0.5000 0.5000
0.0000 0.5000 0.5000
0.5000 0.0000 0.5000
0.5000 0.5000 0.0000



4.
PBE HfSbRu, optimized geometry; SG = I4mm; total energy = -8.055 eV/atom
1.0
-1.6046 1.6046 5.5151
1.6046 -1.6046 5.5151
1.6046 1.6046 -5.5151
Hf Sb Ru
1 1 1
direct
0.0000 0.0000 0.0000
0.6966 0.6966 0.0000
0.3504 0.3504 0.0000



5.
PBE Hf2SnSbRu, optimized geometry; SG = P4/mmm; total energy = -6.546 eV/atom
1.0
5.2722 0.0000 0.0000
0.0000 5.2722 0.0000
0.0000 0.0000 4.8362
Hf Sn Sb Ru
2 1 1 1
direct
0.0000 0.5000 0.0000
0.5000 0.0000 0.0000
0.0000 0.0000 0.5000
0.5000 0.5000 0.0000
0.5000 0.5000 0.5000



6.
PBE HfSbTe2Ru, optimized geometry; excess energy over the best structure of this formula in the dataset = 0.000 eV per atom; SG = P4/mmm
1.0
5.2688 0.0000 0.0000
0.0000 5.2688 0.0000
0.0000 0.0000 4.8999
Hf Sb Te Ru
1 1 2 1
direct
0.0000 0.0000 0.0000
0.5000 0.5000 0.0000
0.0000 0.5000 0.5000
0.5000 0.0000 0.5000
0.5000 0.5000 0.5000